DFT (GGA+U) results for crystalline WSe2F at its relaxed geometry.

a = 2.8658 Å, b = 2.8658 Å, c = 28.1884 Å
α = 90.00°, β = 90.00°, γ = 120.00°
Space group R-3m (No. 166, hexagonal axes)
Symmetry-distinct sites (fractional):
W 0.0000 0.0000 0.0000 [3 per cell]
Se 0.0000 0.0000 0.0940 [6 per cell]
F 0.0000 0.0000 0.5000 [3 per cell]

## Properties
polymorph energy (0 for the lowest one)	876	meV/atom